The following is a DFT calculation (PBE) of crystalline PuTlRh at its relaxed geometry.

Lattice parameters (Å, degrees): 5.279 5.279 5.312 90.00 90.00 90.00
Space group P4/nmm (No. 129, origin choice 2)
Inequivalent atoms, fractional coordinates:
Pu  0.250  0.250  0.151 (multiplicity 2)
Tl  0.250  0.750  0.500 (multiplicity 2)
Rh  0.250  0.250  0.684 (multiplicity 2)

DFT formation energy: -0.051 eV per atom
volume: 24.67 Å³/atom
relative energy among the computed polymorphs: 115 meV per atom


The following is a DFT calculation (PBE) of crystalline Pa4Tc2Sn3 at its relaxed geometry.

Lattice parameters (Å, degrees): 13.451 11.618 5.764 90.00 92.15 90.00
Space group C2/c (No. 15)
Inequivalent atoms, fractional coordinates:
Pa  0.074  0.150  0.086 (multiplicity 8)
Pa  0.160  0.392  0.708 (multiplicity 8)
Tc  0.192  0.350  0.099 (multiplicity 8)
Sn  0.000  0.398  0.250 (multiplicity 4)
Sn  0.148  0.114  0.592 (multiplicity 8)

DFT formation energy: -0.103 eV per atom
volume: 25.00 Å³/atom


The following is a DFT calculation (PBE) of crystalline CaHf2MnTl at its relaxed geometry.

Lattice parameters (Å, degrees): 5.052 5.052 5.494 90.00 90.00 90.00
Space group P4/mmm (No. 123)
Inequivalent atoms, fractional coordinates:
Ca  0.000  0.000  0.000 (multiplicity 1)
Hf  0.000  0.500  0.000 (multiplicity 2)
Mn  0.500  0.500  0.500 (multiplicity 1)
Tl  0.000  0.000  0.500 (multiplicity 1)

DFT formation energy: 1.826 eV per atom
volume: 28.04 Å³/atom
relative energy among the computed polymorphs: 114 meV per atom